Record 1
Li6Cd2Pt | Alexandria | PBE | relaxed; volume = 16.358 Å³ per atom; formation enthalpy at 0 K = -27.7 kJ/mol of atoms; space group = C2/m; raw total energy = -2.438 eV per atom; offset from the most stable computed form = 0.000 eV per atom; mass density = 5.2 g/cm³
1.0
5.132 0.000 1.094
0.000 7.883 0.000
-1.169 -3.941 3.390
Li Cd Pt
6 2 1
direct
0.161 0.501 0.342
0.839 0.159 0.658
0.839 0.499 0.658
0.500 0.159 0.000
0.161 0.841 0.342
0.500 0.841 0.000
0.671 0.670 0.340
0.329 0.330 0.660
0.000 0.000 0.000

Record 2
BaLiZnCd | Alexandria | PBE | relaxed; volume = 26.658 Å³ per atom; formation enthalpy at 0 K = -9.6 kJ/mol of atoms; space group = F-43m; raw total energy = -1.606 eV per atom; mass density = 5.0 g/cm³
1.0
5.323 0.000 0.000
2.661 4.610 0.000
2.661 1.537 4.346
Zn Li Ba Cd
1 1 1 1
direct
0.000 0.000 0.000
0.500 0.500 0.500
0.250 0.250 0.250
0.750 0.750 0.750

Record 3
V3HgOs | Alexandria | PBE | relaxed; volume = 22.602 Å³ per atom; formation enthalpy at 0 K = 219.5 kJ/mol of atoms; space group = Pm-3m; raw total energy = -5.502 eV per atom; offset from the most stable computed form = 1.295 eV per atom; mass density = 8.0 g/cm³
1.0
-0.029 -1.169 4.691
-1.691 -4.392 -1.105
4.529 -1.648 -0.383
Os Hg V
1 1 3
direct
0.500 0.500 0.500
0.000 0.000 0.000
0.000 0.500 0.000
0.000 0.000 0.500
0.500 0.000 0.000

The highest formation enthalpy at 0 K belongs to which entry?
V3HgOs